Below is an optimized crystal structure of LaSc2Re, with properties calculated at the GGA-PBEsol level.

Computed properties:
Formation enthalpy at 0 K ... 0.71 eV per formula unit

a = 3.148 Å, b = 4.589 Å, c = 6.073 Å
α = 90.00°, β = 104.65°, γ = 90.00°
Atoms (fractional coordinates):
La  0.500  0.500  0.000
Re  0.500  0.500  0.500
Sc  0.891  0.000  0.712
Sc  0.109  0.000  0.288

Below is an optimized crystal structure of LaYSc2Re, with properties calculated at the GGA-PBEsol level.

Computed properties:
Formation enthalpy at 0 K ... 1.36 eV per formula unit

a = 5.170 Å, b = 5.170 Å, c = 5.257 Å
α = 90.00°, β = 90.00°, γ = 90.00°
Atoms (fractional coordinates):
Y  0.500  0.500  0.500
Re  0.000  0.000  0.000
Sc  0.000  0.500  0.000
Sc  0.500  0.000  0.000
La  0.000  0.000  0.500

Below is an optimized crystal structure of LaReSe, with properties calculated at the GGA-PBEsol level.

Computed properties:
Excess energy over the best structure of this formula in the dataset ... 471 meV/atom
Formation energy without anion corrections ... 0.26 eV/atom

a = 4.543 Å, b = 4.543 Å, c = 4.543 Å
α = 60.00°, β = 60.00°, γ = 60.00°
Atoms (fractional coordinates):
La  0.500  0.500  0.500
Re  0.250  0.250  0.250
Se  0.000  0.000  0.000

Below is an optimized crystal structure of LaReSe2, with properties calculated at the GGA-PBEsol level.

Computed properties:
Formation energy without anion corrections ... -0.49 eV/atom

a = 3.325 Å, b = 3.976 Å, c = 6.293 Å
α = 90.00°, β = 90.22°, γ = 90.00°
Atoms (fractional coordinates):
La  0.500  0.500  0.000
Re  0.000  0.500  0.500
Se  0.997  0.000  0.735
Se  0.003  0.000  0.265

Below is an optimized crystal structure of LaReSe, with properties calculated at the GGA-PBEsol level.

Computed properties:
Excess energy over the best structure of this formula in the dataset ... 0 meV/atom
Formation energy without anion corrections ... -0.21 eV/atom

a = 3.838 Å, b = 4.373 Å, c = 4.373 Å
α = 120.00°, β = 90.00°, γ = 90.00°
Atoms (fractional coordinates):
La  0.000  0.000  0.000
Re  0.500  0.333  0.667
Se  0.500  0.667  0.333

Below is an optimized crystal structure of LaReSi2, with properties calculated at the GGA-PBEsol level.

Computed properties:
Formation energy without anion corrections ... -0.36 eV/atom

a = 3.360 Å, b = 4.322 Å, c = 6.136 Å
α = 76.30°, β = 74.11°, γ = 67.13°
Atoms (fractional coordinates):
La  0.466  0.548  0.519
Re  0.681  0.656  0.983
Si  0.032  0.089  0.848
Si  0.321  0.208  0.150

Below is an optimized crystal structure of LaZrReSn2, with properties calculated at the GGA-PBEsol level.

Computed properties:
Formation enthalpy at 0 K ... 8.43 eV per formula unit

a = 4.770 Å, b = 5.553 Å, c = 5.553 Å
α = 90.00°, β = 90.00°, γ = 90.00°
Atoms (fractional coordinates):
Re  0.500  0.000  0.000
Sn  0.000  0.000  0.500
Sn  0.000  0.500  0.000
Zr  0.500  0.500  0.500
La  0.000  0.000  0.000

Below is an optimized crystal structure of Sr2LaRe, with properties calculated at the GGA-PBEsol level.

Computed properties:
Formation enthalpy at 0 K ... 4.03 eV per formula unit

a = 3.420 Å, b = 3.420 Å, c = 11.940 Å
α = 81.77°, β = 81.77°, γ = 60.00°
Last column: magnetic moment on the atom in μB.
Atoms (fractional coordinates):
La  0.000  0.000  0.000  0.04
Re  0.500  0.500  0.500  0.82
Sr  0.233  0.233  0.301  0.01
Sr  0.767  0.767  0.699  0.01

Below is an optimized crystal structure of LaTa2Re, with properties calculated at the GGA-PBEsol level.

Computed properties:
Excess energy over the best structure of this formula in the dataset ... 0 meV/atom
Formation enthalpy at 0 K ... 2.82 eV per formula unit

a = 3.973 Å, b = 3.973 Å, c = 5.631 Å
α = 110.66°, β = 110.66°, γ = 90.00°
Atoms (fractional coordinates):
La  0.500  0.500  0.000
Re  0.000  0.000  0.000
Ta  0.750  0.250  0.500
Ta  0.250  0.750  0.500

Below is an optimized crystal structure of La2TaRe, with properties calculated at the GGA-PBEsol level.

Computed properties:
Excess energy over the best structure of this formula in the dataset ... 0 meV/atom
Formation enthalpy at 0 K ... 1.19 eV per formula unit

a = 3.492 Å, b = 5.260 Å, c = 6.129 Å
α = 115.23°, β = 106.55°, γ = 90.00°
Atoms (fractional coordinates):
La  0.996  0.997  0.992
La  0.770  0.270  0.540
Re  0.531  0.532  0.063
Ta  0.202  0.702  0.405

Below is an optimized crystal structure of La2TaRe, with properties calculated at the GGA-PBEsol level.

Computed properties:
Excess energy over the best structure of this formula in the dataset ... 381 meV/atom
Formation enthalpy at 0 K ... 2.71 eV per formula unit

a = 3.046 Å, b = 3.046 Å, c = 10.181 Å
α = 90.00°, β = 90.00°, γ = 114.96°
Atoms (fractional coordinates):
La  0.000  0.000  0.269
La  0.000  0.000  0.731
Re  0.500  0.500  0.500
Ta  0.500  0.500  0.000

Below is an optimized crystal structure of La2TaRe, with properties calculated at the GGA-PBEsol level.

Computed properties:
Excess energy over the best structure of this formula in the dataset ... 241 meV/atom
Formation enthalpy at 0 K ... 2.15 eV per formula unit

a = 4.941 Å, b = 4.941 Å, c = 4.941 Å
α = 60.00°, β = 60.00°, γ = 60.00°
Atoms (fractional coordinates):
La  0.000  0.000  0.000
La  0.750  0.750  0.750
Re  0.500  0.500  0.500
Ta  0.250  0.250  0.250

Below is an optimized crystal structure of LaTa2Re, with properties calculated at the GGA-PBEsol level.

Computed properties:
Excess energy over the best structure of this formula in the dataset ... 57 meV/atom
Formation enthalpy at 0 K ... 3.05 eV per formula unit

a = 3.966 Å, b = 3.966 Å, c = 4.936 Å
α = 90.00°, β = 90.00°, γ = 90.00°
Atoms (fractional coordinates):
La  0.500  0.500  0.500
Re  0.000  0.000  0.500
Ta  0.000  0.500  0.000
Ta  0.500  0.000  0.000

Below is an optimized crystal structure of La2TaRe, with properties calculated at the GGA-PBEsol level.

Computed properties:
Excess energy over the best structure of this formula in the dataset ... 483 meV/atom
Formation enthalpy at 0 K ... 3.12 eV per formula unit

a = 3.179 Å, b = 3.179 Å, c = 8.986 Å
α = 90.00°, β = 90.00°, γ = 90.00°
Atoms (fractional coordinates):
La  0.000  0.000  0.777
La  0.000  0.000  0.223
Re  0.500  0.500  0.000
Ta  0.500  0.500  0.500

Below is an optimized crystal structure of LaTaRe, with properties calculated at the GGA-PBEsol level.

Computed properties:
Formation enthalpy at 0 K ... 5.48 eV per formula unit

a = 4.485 Å, b = 4.485 Å, c = 4.485 Å
α = 60.00°, β = 60.00°, γ = 60.00°
Atoms (fractional coordinates):
La  0.250  0.250  0.250
Re  0.000  0.000  0.000
Ta  0.500  0.500  0.500

Calculated total energy in eV/atom, matching the order above: -7.796; -7.470; -7.254; -7.088; -7.724; -7.899; -5.570; -4.581; -10.240; -8.847; -8.466; -8.606; -10.183; -8.364; -8.584
Calculated density in g/cm³, matching the order above: 8.1; 6.0; 10.1; 9.6; 10.6; 8.1; 7.4; 7.0; 14.8; 11.1; 12.5; 12.6; 14.7; 11.8; 13.2